DFT (GGA-PBE) results for a geometry-optimized Tb2GdAu structure.

Output
Crystal system: tetragonal
Offset from the most stable computed form: 0.000 eV per atom
Volume: 28.26 A^3/atom
ρ: 9.87 g cm⁻³
Energy: -7.04 eV per atom

```
data_Tb2GdAu
_chemical_formula_sum 'Tb2 Gd1 Au1'
_symmetry_space_group_name_H-M 'P 4/m m m'
_symmetry_Int_Tables_number 123
_symmetry_space_group_name_Hall '-P 4 2'
_cell_length_a 3.608
_cell_length_b 3.608
_cell_length_c 8.682
_cell_angle_alpha 90.00
_cell_angle_beta 90.00
_cell_angle_gamma 90.00
loop_
_atom_site_label
_atom_site_type_symbol
_atom_site_fract_x
_atom_site_fract_y
_atom_site_fract_z
Tb1 Tb 0.000 0.000 0.205
Gd1 Gd 0.500 0.500 0.500
Au1 Au 0.500 0.500 0.000
```